CoAuCl | PBE | optimized geometry

The structure in CIF format:
```
data_CoAuCl
_chemical_formula_sum 'Co4 Au4 Cl4'
_cell_length_a 12.516
_cell_length_b 3.247
_cell_length_c 5.540
_cell_angle_alpha 90.00
_cell_angle_beta 98.64
_cell_angle_gamma 90.00
_symmetry_space_group_name_H-M 'P 1'
_symmetry_Int_Tables_number 1
_symmetry_space_group_name_Hall 'P 1'
loop_
_atom_site_label
_atom_site_type_symbol
_atom_site_fract_x
_atom_site_fract_y
_atom_site_fract_z
Cl1 Cl 0.853 0.000 0.780
Cl2 Cl 0.147 0.500 0.720
Cl3 Cl 0.853 0.500 0.280
Cl4 Cl 0.147 0.000 0.220
Co1 Co 0.743 0.000 0.078
Co2 Co 0.743 0.500 0.578
Co3 Co 0.257 0.000 0.922
Co4 Co 0.257 0.500 0.422
Au1 Au 0.412 0.000 0.638
Au2 Au 0.588 0.000 0.362
Au3 Au 0.588 0.500 0.862
Au4 Au 0.412 0.500 0.138
```

Output
- electronic total energy (eV per atom) = -4.145
- calculated volume (Å³/f.u.) = 55.6
- M_tot (μB per formula unit) = 2.13